(1)
# Ac5MgRh4

An optimized crystal structure of Ac5MgRh4 (PBE, Alexandria via LeMat-Bulk).

It has space group Pmmn (No. 59, origin choice 2), with a = 8.3656 Å, b = 9.9535 Å, c = 7.3623 Å, α = 90.00°, β = 90.00° and γ = 90.00°. Symmetry generates all atoms from Ac at (0.0144, 0.0581, 0.2396), Ac at (0.2500, 0.2500, 0.7488), Mg at (0.2500, 0.7500, 0.3816), Rh at (0.0776, 0.7500, 0.0563) and Rh at (0.2500, 0.0027, 0.5226).

The calculation puts the total magnetization at 0.000 μB/atom. For the energy relative to the elements, the calculation gives -4.2 eV/f.u. The calculation puts the density of states at the Fermi level at 0.53 states/eV per atom. As for the total energy: -0.205 Ha/atom.

***

(2)
# AcMg3Rh2

An optimized crystal structure of AcMg3Rh2 (PBE, Alexandria via LeMat-Bulk).

It has space group C2/m (No. 12), with a = 17.8275 Å, b = 4.1967 Å, c = 10.7359 Å, α = 90.00°, β = 105.52° and γ = 90.00°. Symmetry generates all atoms from Ac at (0.0000, 0.0000, 0.0000), Ac at (0.1573, 0.0000, 0.7111), Mg at (0.0000, 0.5000, 0.5000), Mg at (0.0489, 0.0000, 0.3421), Mg at (0.1295, 0.5000, 0.2208), Mg at (0.1774, 0.5000, 0.9787), Mg at (0.2160, 0.0000, 0.4045), Rh at (0.0300, 0.5000, 0.7881), Rh at (0.1354, 0.5000, 0.4693) and Rh at (0.2031, 0.0000, 0.1463).

The calculation puts the total magnetization at 0.000 μB/atom. For the energy relative to the elements, the calculation gives -2.7 eV/f.u. The calculation puts the density of states at the Fermi level at 0.43 states/eV per atom. As for the total energy: -0.161 Ha/atom.

***

(3)
# AcMg2Rh

An optimized crystal structure of AcMg2Rh (PBE, Alexandria via LeMat-Bulk).

It has space group Pnma (No. 62), with a = 16.1283 Å, b = 8.2586 Å, c = 5.8753 Å, α = 90.00°, β = 90.00° and γ = 90.00°. Symmetry generates all atoms from Ac at (0.1012, 0.2500, 0.2241), Ac at (0.1362, 0.7500, 0.0497), Mg at (0.0448, 0.0605, 0.7136), Mg at (0.2093, 0.5551, 0.5461), Rh at (0.0686, 0.7500, 0.5250) and Rh at (0.1912, 0.2500, 0.7747).

The calculation puts the total magnetization at 0.000 μB/atom. For the energy relative to the elements, the calculation gives -1.8 eV/f.u. The calculation puts the density of states at the Fermi level at 0.65 states/eV per atom. As for the total energy: -0.151 Ha/atom. Its distance to the lowest polymorph of the same formula is 0.0087 eV/atom.

***

(4)
# Ac6MgRh3

An optimized crystal structure of Ac6MgRh3 (PBE, Alexandria via LeMat-Bulk).

It has space group P2_1/m (No. 11), with a = 12.9605 Å, b = 4.3065 Å, c = 13.1176 Å, α = 90.00°, β = 104.35° and γ = 90.00°. Symmetry generates all atoms from Ac at (0.0094, 0.2500, 0.1290), Ac at (0.1130, 0.7500, 0.4533), Ac at (0.1917, 0.2500, 0.7545), Ac at (0.3001, 0.2500, 0.2910), Ac at (0.3025, 0.7500, 0.0326), Ac at (0.4315, 0.2500, 0.5999), Mg at (0.4624, 0.7500, 0.8397), Rh at (0.0358, 0.7500, 0.6571), Rh at (0.1476, 0.2500, 0.9695) and Rh at (0.3508, 0.7500, 0.4424).

The calculation puts the total magnetization at 0.000 μB/atom. For the energy relative to the elements, the calculation gives -4.6 eV/f.u. The calculation puts the density of states at the Fermi level at 0.75 states/eV per atom. As for the total energy: -0.194 Ha/atom.

***

(5)
# AcMg11Rh

An optimized crystal structure of AcMg11Rh (PBE, Alexandria via LeMat-Bulk).

It has space group C2/m (No. 12), with a = 5.6856 Å, b = 14.4683 Å, c = 7.8085 Å, α = 90.00°, β = 110.16° and γ = 90.00°. Symmetry generates all atoms from Ac at (0.0000, 0.0000, 0.0000), Mg at (0.0000, 0.0000, 0.5000), Mg at (0.0985, 0.3962, 0.2289), Mg at (0.1957, 0.1683, 0.3646), Mg at (0.2500, 0.2500, 0.0000) and Rh at (0.0000, 0.5000, 0.5000).

The calculation puts the total magnetization at 0.000 μB/atom. For the energy relative to the elements, the calculation gives -2.0 eV/f.u. The calculation puts the density of states at the Fermi level at 0.49 states/eV per atom. As for the total energy: -0.087 Ha/atom.

***

(6)
# Ac2MgSb4Rh3

An optimized crystal structure of Ac2MgSb4Rh3 (PBE, Alexandria via LeMat-Bulk).

It has space group P-4m2 (No. 115), with a = 4.6136 Å, b = 4.6136 Å, c = 11.1948 Å, α = 90.00°, β = 90.00° and γ = 90.00°. Symmetry generates all atoms from Ac at (0.0000, 0.5000, 0.2417), Mg at (0.0000, 0.0000, 0.5000), Sb at (0.0000, 0.0000, 0.0000), Sb at (0.0000, 0.5000, 0.6426), Sb at (0.5000, 0.5000, 0.0000), Rh at (0.0000, 0.5000, 0.8805) and Rh at (0.5000, 0.5000, 0.5000).

The calculation puts the total magnetization at 0.000 μB/atom. The uncorrected formation energy comes out at -77.8 kJ/mol of atoms. The calculation puts the density of states at the Fermi level at 0.43 states/eV per atom. As for the total energy: -0.207 Ha/atom.

***

(7)
# AcMgSbRh3

An optimized crystal structure of AcMgSbRh3 (PBE, Alexandria via LeMat-Bulk).

It has space group Cmcm (No. 63), with a = 6.3725 Å, b = 12.5163 Å, c = 6.3966 Å, α = 90.00°, β = 90.00° and γ = 90.00°. Symmetry generates all atoms from Ac at (0.0000, 0.1862, 0.2500), Mg at (0.0000, 0.4406, 0.2500), Sb at (0.0000, 0.1320, 0.7500), Rh at (0.0000, 0.3393, 0.7500) and Rh at (0.2179, 0.0000, 0.0000).

The calculation puts the total magnetization at 0.000 μB/atom. The uncorrected formation energy comes out at -36.5 kJ/mol of atoms. The calculation puts the density of states at the Fermi level at 0.67 states/eV per atom. As for the total energy: -0.209 Ha/atom.

***

(8)
# AcMgSbRh

An optimized crystal structure of AcMgSbRh (PBE, Alexandria via LeMat-Bulk).

It has space group F-43m (No. 216), with a = 7.2193 Å, b = 7.2193 Å, c = 7.2193 Å, α = 90.00°, β = 90.00° and γ = 90.00°. Symmetry generates all atoms from Ac at (0.0000, 0.0000, 0.0000), Mg at (0.2500, 0.2500, 0.2500), Sb at (0.0000, 0.0000, 0.5000) and Rh at (0.2500, 0.2500, 0.7500).

The calculation puts the total magnetization at 0.000 μB/atom. The uncorrected formation energy comes out at -35.2 kJ/mol of atoms. The calculation puts the density of states at the Fermi level at 0.57 states/eV per atom. As for the total energy: -0.171 Ha/atom.

***

(9)
# AcMg2SiRh2

An optimized crystal structure of AcMg2SiRh2 (PBE, Alexandria via LeMat-Bulk).

It has space group P4/mmm (No. 123), with a = 4.5683 Å, b = 4.5683 Å, c = 6.3105 Å, α = 90.00°, β = 90.00° and γ = 90.00°. Symmetry generates all atoms from Ac at (0.0000, 0.0000, 0.0000), Mg at (0.5000, 0.5000, 0.2569), Si at (0.0000, 0.0000, 0.5000) and Rh at (0.0000, 0.5000, 0.5000).

The calculation puts the total magnetization at 0.047 μB/atom. The uncorrected formation energy comes out at -48.1 kJ/mol of atoms. The calculation puts the density of states at the Fermi level at 1.05 states/eV per atom. As for the total energy: -0.186 Ha/atom.

***

(10)
# Ac2MgSi4Rh3

An optimized crystal structure of Ac2MgSi4Rh3 (PBE, Alexandria via LeMat-Bulk).

It has space group P-4m2 (No. 115), with a = 4.3328 Å, b = 4.3328 Å, c = 10.3856 Å, α = 90.00°, β = 90.00° and γ = 90.00°. Symmetry generates all atoms from Ac at (0.0000, 0.5000, 0.2398), Mg at (0.0000, 0.0000, 0.5000), Si at (0.0000, 0.0000, 0.0000), Si at (0.0000, 0.5000, 0.6433), Si at (0.5000, 0.5000, 0.0000), Rh at (0.0000, 0.5000, 0.8844) and Rh at (0.5000, 0.5000, 0.5000).

The calculation puts the total magnetization at 0.000 μB/atom. The uncorrected formation energy comes out at -75.4 kJ/mol of atoms. The calculation puts the density of states at the Fermi level at 0.81 states/eV per atom. As for the total energy: -0.226 Ha/atom.

***

(11)
# AcMgSiRh3

An optimized crystal structure of AcMgSiRh3 (PBE, Alexandria via LeMat-Bulk).

It has space group Cmcm (No. 63), with a = 5.9865 Å, b = 13.8401 Å, c = 6.1519 Å, α = 90.00°, β = 90.00° and γ = 90.00°. Symmetry generates all atoms from Ac at (0.0000, 0.2412, 0.2500), Mg at (0.0000, 0.1069, 0.7500), Si at (0.0000, 0.4526, 0.7500), Rh at (0.0000, 0.2878, 0.7500) and Rh at (0.2405, 0.0000, 0.0000).

The calculation puts the total magnetization at 0.000 μB/atom. The uncorrected formation energy comes out at -48.3 kJ/mol of atoms. The calculation puts the density of states at the Fermi level at 0.30 states/eV per atom. As for the total energy: -0.222 Ha/atom.

***

(12)
# AcSmMgRh

An optimized crystal structure of AcSmMgRh (PBE, Alexandria via LeMat-Bulk).

It has space group F-43m (No. 216), with a = 7.5454 Å, b = 7.5454 Å, c = 7.5454 Å, α = 90.00°, β = 90.00° and γ = 90.00°. Symmetry generates all atoms from Ac at (0.0000, 0.0000, 0.0000), Sm at (0.0000, 0.0000, 0.5000), Mg at (0.2500, 0.2500, 0.2500) and Rh at (0.2500, 0.2500, 0.7500).

The calculation puts the total magnetization at 0.000 μB/atom. For the energy relative to the elements, the calculation gives -1.0 eV/f.u. The calculation puts the density of states at the Fermi level at 0.70 states/eV per atom. As for the total energy: -0.172 Ha/atom.

***

- Which value of total magnetization does entry 3 give?
  0.000 μB/atom

***

- total magnetization of number 4 (Ac6MgRh3)?
  0.000 μB/atom